[1]
# PBE Mg2TaBIr, optimized geometry
# Spin magnetization   0.00 μB per formula unit
# Crystal system   tetragonal
# Density of states at the Fermi level   0.67 states/eV/atom
# ΔH_f (0 K)   117.8 kJ per mole of atoms
data_Mg2TaBIr
_chemical_formula_sum 'Mg2 Ta1 B1 Ir1'
_space_group_name_H-M_alt 'P 1'
_space_group_IT_number 1
_space_group_name_Hall 'P 1'
_cell_length_a 4.827
_cell_length_b 4.852
_cell_length_c 4.827
_cell_angle_alpha 90.00
_cell_angle_beta 90.00
_cell_angle_gamma 90.00
loop_
_atom_site_label
_atom_site_fract_x
_atom_site_fract_y
_atom_site_fract_z
_atom_site_occupancy
Mg1 0.000 0.000 0.500 1
Mg2 0.500 0.000 0.000 1
Ir1 0.000 0.000 0.000 1
B1 0.500 0.500 0.500 1
Ta1 0.000 0.500 0.000 1



[2]
# PBE Tb2MgB2Ir5, optimized geometry
# Spin magnetization   0.00 μB per formula unit
# Crystal system   tetragonal
# Density of states at the Fermi level   0.29 states/eV/atom
# ΔH_f (0 K)   -65.4 kJ per mole of atoms
data_Tb2MgB2Ir5
_chemical_formula_sum 'Tb4 Mg2 B4 Ir10'
_space_group_name_H-M_alt 'P 1'
_space_group_IT_number 1
_space_group_name_Hall 'P 1'
_cell_length_a 3.130
_cell_length_b 9.786
_cell_length_c 9.786
_cell_angle_alpha 90.00
_cell_angle_beta 90.00
_cell_angle_gamma 90.00
loop_
_atom_site_label
_atom_site_fract_x
_atom_site_fract_y
_atom_site_fract_z
_atom_site_occupancy
Tb1 0.000 0.678 0.178 1
Tb2 0.000 0.322 0.822 1
Tb3 0.000 0.178 0.322 1
Tb4 0.000 0.822 0.678 1
Mg1 0.000 0.000 0.000 1
Mg2 0.000 0.500 0.500 1
B1 0.000 0.121 0.621 1
B2 0.000 0.879 0.379 1
B3 0.000 0.621 0.879 1
B4 0.000 0.379 0.121 1
Ir1 0.500 0.224 0.068 1
Ir2 0.500 0.776 0.932 1
Ir3 0.500 0.068 0.776 1
Ir4 0.500 0.724 0.432 1
Ir5 0.500 0.932 0.224 1
Ir6 0.500 0.276 0.568 1
Ir7 0.500 0.568 0.724 1
Ir8 0.500 0.432 0.276 1
Ir9 0.500 0.500 0.000 1
Ir10 0.500 0.000 0.500 1



[3]
# PBE MgTi2B2Ir5, optimized geometry
# Spin magnetization   0.49 μB per formula unit
# Crystal system   tetragonal
# Density of states at the Fermi level   0.32 states/eV/atom
# ΔH_f (0 K)   -62.7 kJ per mole of atoms
data_MgTi2B2Ir5
_chemical_formula_sum 'Mg2 Ti4 B4 Ir10'
_space_group_name_H-M_alt 'P 1'
_space_group_IT_number 1
_space_group_name_Hall 'P 1'
_cell_length_a 2.999
_cell_length_b 9.390
_cell_length_c 9.390
_cell_angle_alpha 90.00
_cell_angle_beta 90.00
_cell_angle_gamma 90.00
loop_
_atom_site_label
_atom_site_fract_x
_atom_site_fract_y
_atom_site_fract_z
_atom_site_occupancy
Mg1 0.000 0.000 0.000 1
Mg2 0.000 0.500 0.500 1
Ti1 0.000 0.677 0.177 1
Ti2 0.000 0.323 0.823 1
Ti3 0.000 0.177 0.323 1
Ti4 0.000 0.823 0.677 1
B1 0.000 0.125 0.625 1
B2 0.000 0.875 0.375 1
B3 0.000 0.625 0.875 1
B4 0.000 0.375 0.125 1
Ir1 0.500 0.218 0.071 1
Ir2 0.500 0.782 0.929 1
Ir3 0.500 0.071 0.782 1
Ir4 0.500 0.718 0.429 1
Ir5 0.500 0.929 0.218 1
Ir6 0.500 0.282 0.571 1
Ir7 0.500 0.571 0.718 1
Ir8 0.500 0.429 0.282 1
Ir9 0.500 0.500 0.000 1
Ir10 0.500 0.000 0.500 1



[4]
# PBE MgZn2B2Ir5, optimized geometry
# Spin magnetization   0.00 μB per formula unit
# Crystal system   tetragonal
# Density of states at the Fermi level   0.42 states/eV/atom
# ΔH_f (0 K)   -19.0 kJ per mole of atoms
data_MgZn2B2Ir5
_chemical_formula_sum 'Mg2 Zn4 B4 Ir10'
_space_group_name_H-M_alt 'P 1'
_space_group_IT_number 1
_space_group_name_Hall 'P 1'
_cell_length_a 2.923
_cell_length_b 9.515
_cell_length_c 9.515
_cell_angle_alpha 90.00
_cell_angle_beta 90.00
_cell_angle_gamma 90.00
loop_
_atom_site_label
_atom_site_fract_x
_atom_site_fract_y
_atom_site_fract_z
_atom_site_occupancy
Mg1 0.000 0.000 0.000 1
Mg2 0.000 0.500 0.500 1
Zn1 0.000 0.678 0.178 1
Zn2 0.000 0.322 0.822 1
Zn3 0.000 0.178 0.322 1
Zn4 0.000 0.822 0.678 1
B1 0.000 0.127 0.627 1
B2 0.000 0.873 0.373 1
B3 0.000 0.627 0.873 1
B4 0.000 0.373 0.127 1
Ir1 0.500 0.217 0.073 1
Ir2 0.500 0.783 0.927 1
Ir3 0.500 0.073 0.783 1
Ir4 0.500 0.717 0.427 1
Ir5 0.500 0.927 0.217 1
Ir6 0.500 0.283 0.573 1
Ir7 0.500 0.573 0.717 1
Ir8 0.500 0.427 0.283 1
Ir9 0.500 0.500 0.000 1
Ir10 0.500 0.000 0.500 1